No. 1
ScIn2Ag: optimized geometry, PBE.

abc: 7.897 7.897 6.087
angles: 90.00 90.00 90.00
Sites, in units of the cell vectors:
Sc  0.000  0.000  0.000
Sc  0.000  0.500  0.250
Sc  0.500  0.000  0.750
Sc  0.500  0.500  0.500
In  0.225  0.250  0.625
In  0.250  0.725  0.875
In  0.250  0.775  0.375
In  0.275  0.250  0.125
In  0.725  0.750  0.125
In  0.750  0.225  0.375
In  0.750  0.275  0.875
In  0.775  0.750  0.625
Ag  0.000  0.000  0.500
Ag  0.000  0.500  0.750
Ag  0.500  0.000  0.250
Ag  0.500  0.500  0.000

Calculated values
Formation energy (kcal/mol of atoms): -0.9
E (eV/cell): -59.3

No. 2
Sc2InAg: optimized geometry, PBE.

abc: 3.339 3.339 28.262
angles: 90.00 90.00 120.00
Sites, in units of the cell vectors:
Sc  0.000  0.000  0.247
Sc  0.000  0.000  0.753
Sc  0.333  0.667  0.420
Sc  0.333  0.667  0.913
Sc  0.667  0.333  0.087
Sc  0.667  0.333  0.580
In  0.000  0.000  0.000
In  0.333  0.667  0.667
In  0.667  0.333  0.333
Ag  0.000  0.000  0.500
Ag  0.333  0.667  0.167
Ag  0.667  0.333  0.833

Calculated values
Formation energy (kcal/mol of atoms): -3.5
E (eV/cell): -56.6

Question: Number 2 is which compound?
Answer: Sc2InAg